## La2CoMo (PBE)

Data for a relaxed structure of La2CoMo.

Cell and atoms, written as extended XYZ:
```
4
Lattice="0.0000 3.4756 3.4756 3.4756 0.0000 3.4756 3.4756 3.4756 0.0000" Properties=species:S:1:pos:R:3 pbc="T T T"
La 0.0000 0.0000 0.0000
La 1.7378 1.7378 1.7378
Co 3.4756 3.4756 3.4756
Mo 5.2134 5.2134 5.2134
```

SG: F-43m, No. 216
E above lowest polymorph: 0.388 eV/atom
DFT total energy: -6.394 eV/atom